[1]
Pm4Dy7Th: optimized geometry, PBE.

As for the formation energy: 0.29 eV/atom. For the volume, the calculation gives 815.8 Å³ per cell. The relative energy among the computed polymorphs comes out at 0.2721 eV per atom. For the spin magnetization, the calculation gives 0.0 μB/cell.

The space group is C2/m (No. 12) and the conventional cell measures 12.1580, 5.9686 and 12.7587 Å, with angles of 90.00, 118.22 and 90.00 degrees. The asymmetric unit holds Pm at (0.0612, 0.0000, 0.3273), Pm at (0.1387, 0.5000, 0.7771), Dy at (0.0000, 0.0000, 0.0000), Dy at (0.1342, 0.5000, 0.5028), Dy at (0.2101, 0.0000, 0.9235), Dy at (0.2462, 0.0000, 0.6817) and Th at (0.0000, 0.5000, 0.0000).

[2]
Pm8Dy2Th3: optimized geometry, PBE.

As for the formation energy: 0.24 eV/atom. For the volume, the calculation gives 889.7 Å³ per cell. For the spin magnetization, the calculation gives 0.0 μB/cell.

The space group is C2/m (No. 12) and the conventional cell measures 9.9964, 11.0379 and 8.7471 Å, with angles of 90.00, 112.80 and 90.00 degrees. The asymmetric unit holds Pm at (0.0906, 0.0000, 0.3449), Pm at (0.1016, 0.5000, 0.2163), Pm at (0.1617, 0.2425, 0.6795), Dy at (0.2339, 0.0000, 0.0432), Th at (0.0000, 0.2368, 0.0000) and Th at (0.0000, 0.5000, 0.5000).

| no. | electronic total energy (eV/atom) |
| --- | --- |
| 1 | -4.59 |
| 2 | -5.11 |